Entry from the Alexandria database: a geometry-optimized NaMnGeI2 structure (PBE-GGA).

Results
M_tot: 4.09 μB per formula unit
E_form (uncorrected): 0.004 eV per atom
N(E_F): 2.46 states/eV/f.u.

Cell lengths 6.1542, 6.1542, 4.8077 Å; angles 90.00, 90.00, 90.00 degrees
With the nearest neighbours (Å) after each atom.
Space group P4/mmm (No. 123)
Unique sites:
Na  0.0000  0.0000  0.0000  8 I 3.90, 4 Mn 4.35
Mn  0.5000  0.5000  0.0000  2 Ge 2.40
Ge  0.5000  0.5000  0.5000  2 Mn 2.40
I  0.0000  0.5000  0.5000  2 Ge 3.08